# 1
## Ag2SbAu (SCAN)

Data for a PBEsol-optimized structure of Ag2SbAu.

Lattice parameters (Å, degrees): 4.173 4.173 4.257 90.00 90.00 90.00
Fractional positions:
Ag1 0.000 0.500 0.000
Ag2 0.500 0.000 0.000
Sb1 0.000 0.000 0.500
Au1 0.500 0.500 0.500

Calculated volume in Å³ per cell: 74.13

# 2
## SrHg2Ir (SCAN)

Data for a PBEsol-optimized structure of SrHg2Ir.

Lattice parameters (Å, degrees): 5.881 5.881 5.881 46.12 46.12 46.12
Fractional positions:
Sr1 0.000 0.000 0.000
Hg1 0.214 0.214 0.214
Hg2 0.786 0.786 0.786
Ir1 0.500 0.500 0.500

Formation enthalpy at 0 K in eV/f.u.: -0.46
Calculated volume in Å³ per cell: 96.42

no.,raw total energy (eV/atom),Fermi-level density of states (states/eV/f.u.)
1,-42.2776,1.32
2,-57.5422,2.59